No. 1
Entry from the Alexandria database: EuHo2N after structural relaxation (PBE).

Properties
For the uncorrected formation energy, the calculation gives -268 kJ/mol of formula units.

Cell: 3.4746 3.4746 28.7205 Å, 90.00 90.00 120.00°
Space group R-3m (No. 166, hexagonal axes)
Symmetry-distinct sites (fractional):
Eu  0.0000  0.0000  0.0000 [3 per cell]
Ho  0.0000  0.0000  0.1207 [6 per cell]
N  0.0000  0.0000  0.5000 [3 per cell]

No. 2
Entry from the Alexandria database: La5Cd2C2 after structural relaxation (PBE).

Properties
The formation energy is -0.017 eV per atom.

Cell: 4.9818 4.9818 10.9543 Å, 90.00 90.00 90.00°
Space group P4/mmm (No. 123)
Symmetry-distinct sites (fractional):
La  0.0000  0.0000  0.0000 [1 per cell]
La  0.0000  0.5000  0.2796 [4 per cell]
Cd  0.5000  0.5000  0.0000 [1 per cell]
Cd  0.5000  0.5000  0.5000 [1 per cell]
C  0.0000  0.0000  0.2249 [2 per cell]

No. 3
Entry from the Alexandria database: PIrAu2 after structural relaxation (PBE).

Properties
The formation energy is 0.077 eV per atom.

Cell: 6.3886 4.2140 5.6756 Å, 90.00 113.18 90.00°
Space group Cm (No. 8)
Symmetry-distinct sites (fractional):
P  0.0000  0.0000  0.0000 [2 per cell]
Ir  0.3622  0.0000  0.0277 [2 per cell]
Au  0.0966  0.5000  0.6625 [2 per cell]
Au  0.3490  0.5000  0.3602 [2 per cell]